Entry 1:
GGA+U NaCaCeFeO6, relaxed; total moment = 3.12 Bohr magnetons per cell; energy = -6.486 eV/atom; space-group type = F-43m (216)
1.0
2.5583 -4.3536 2.7119
2.7222 0.9162 4.9602
-2.2006 -2.0188 4.8923
O Fe Ca Ce Na
6 1 1 1 1
Cartesian
0.9905 -4.4217 6.8965
1.0667 -1.9727 7.9414
2.0132 -3.4835 4.6231
2.0893 -1.0346 5.6679
3.2782 -3.0577 6.9281
-0.1983 -2.3985 5.6363
1.5399 -2.7281 6.2822
0.7700 -1.3641 3.1411
0.0000 0.0000 0.0000
2.3099 -4.0922 9.4233

---

Entry 2:
GGA+U SrCaCeFeO6, relaxed; total moment = 4.00 Bohr magnetons per cell; energy = -6.920 eV/atom; space-group type = F-43m (216)
1.0
-0.0809 0.2304 5.8314
-4.6494 -1.9599 2.9338
0.3786 -4.9178 3.1204
O Ca Sr Fe Ce
6 1 1 1 1
Cartesian
-3.1676 -5.0063 5.9955
-3.3852 -2.5689 7.2790
-0.9664 -4.0784 4.6066
-3.3469 -2.6780 4.5182
-1.0047 -3.9693 7.3674
-1.1840 -1.6410 5.8901
-1.0879 -1.6618 2.9714
-3.2637 -4.9854 8.9142
-2.1758 -3.3236 5.9428
0.0000 0.0000 0.0000

---

The theoretical density results, record by record, are as follows: 4.4, 5.0 g cm⁻³.